A relaxed structure of SrGe2Rh4, computed with PBE-GGA.

Output
The formation energy is -0.551 eV/atom. The calculation puts the size of the total moment at 0.000 μB/atom. As for the energy: -88.359 eV for the cell shown. The symmetry is P4_2/mnm. The calculation puts the calculated density at 8.88 g cm⁻³. As for the crystal system: tetragonal.

a b c (Å): 7.8520 7.8520 3.9099
angles (deg): 90.00 90.00 90.00
Closest atoms and distances in Å follow each position.
Fractional coordinates of all 14 atoms:
Sr 0.0000 0.0000 0.0000  6 Ge 3.03-3.19, 8 Rh 3.39
Sr 0.5000 0.5000 0.5000  6 Ge 3.03-3.19, 8 Rh 3.39
Ge 0.2270 0.2270 0.5000  6 Rh 2.55-2.56
Ge 0.2730 0.7270 0.0000  6 Rh 2.55-2.56
Ge 0.7270 0.2730 0.0000  6 Rh 2.55-2.56
Ge 0.7730 0.7730 0.5000  6 Rh 2.55-2.56
Rh 0.0777 0.6557 0.5000  3 Ge 2.55-2.56, 5 Rh 2.73-2.75
Rh 0.1557 0.4223 0.0000  3 Ge 2.55-2.56, 5 Rh 2.73-2.75
Rh 0.3443 0.9223 0.5000  3 Ge 2.55-2.56, 5 Rh 2.73-2.75
Rh 0.4223 0.1557 0.0000  3 Ge 2.55-2.56, 5 Rh 2.73-2.75
Rh 0.5777 0.8443 0.0000  3 Ge 2.55-2.56, 5 Rh 2.73-2.75
Rh 0.6557 0.0777 0.5000  3 Ge 2.55-2.56, 5 Rh 2.73-2.75
Rh 0.8443 0.5777 0.0000  3 Ge 2.55-2.56, 5 Rh 2.73-2.75
Rh 0.9223 0.3443 0.5000  3 Ge 2.55-2.56, 5 Rh 2.73-2.75